1.
VASP calculation (GGA-PBEsol) on crystalline SrAlAs3 at its relaxed geometry.

The calculation puts the formation energy at -0.9 eV per formula unit. The total magnetization is 0.0 μB/f.u. The calculation puts the total energy at -0.16316 Ha/atom.

The space group is Pm-3m (No. 221) and the conventional cell measures 4.911, 4.911 and 4.911 Å, with angles of 90.00, 90.00 and 90.00 degrees. The asymmetric unit holds Sr at (0.000, 0.000, 0.000), Al at (0.500, 0.500, 0.500) and As at (0.000, 0.500, 0.500).

---

2.
VASP calculation (GGA-PBEsol) on crystalline SiHgTe2 at its relaxed geometry.

The energy above the most stable polymorph in this dataset comes out at 0.000 eV/atom. The total magnetization is 0.0 μB/f.u. The calculation puts the total energy at -0.12247 Ha/atom.

The space group is R-3m (No. 166, hexagonal axes) and the conventional cell measures 4.0476, 4.0476 and 21.1340 Å, with angles of 90.00, 90.00 and 120.00 degrees. The asymmetric unit holds Si at (0.0000, 0.0000, 0.0000), Hg at (0.0000, 0.0000, 0.5000) and Te at (0.0000, 0.0000, 0.2591).

---

Which value of total magnetization does entry 1 give?
0.0 μB/f.u.

---

total magnetization of number 1 (SrAlAs3)?
0.0 μB/f.u.

---

Number 1 is which compound?
SrAlAs3